DFT (PBE-GGA) results for a relaxed AcHoH8Rh2 crystal.

Calculated values
**Uncorrected energy**: -4.51 eV per atom
**Density of states at the Fermi level**: 2.55 states/eV/cell

```
12
Lattice="-2.478 -1.281 4.086 -0.635 -4.779 1.112 4.305 -1.973 4.988" Properties=species:S:1:pos:R:3 pbc="T T T"
Ac 0.595 -4.016 5.093
H 1.932 -2.928 6.852
H -0.119 -6.033 7.023
H -0.902 -2.797 3.565
H -0.741 -5.104 3.335
H 1.310 -1.999 3.164
H 2.093 -5.235 6.621
H 3.051 -3.839 5.029
H -1.860 -4.194 5.157
Rh 1.261 -6.021 7.864
Rh -0.070 -2.011 2.322
Ho 0.000 0.000 0.000
```